[1]
Here is an optimized crystal structure of Tb2HfO from Alexandria via LeMat-Bulk. Energies are from GGA-PBE.

Cell: 9.299 9.299 9.299 Å, 20.67 20.67 20.67°
Positions (direct):
1 Tb 0.115 0.115 0.115
2 Tb 0.885 0.885 0.885
3 Hf 0.000 0.000 0.000
4 O 0.500 0.500 0.500

***

[2]
Here is an optimized crystal structure of Tb4Hf6O19 from Alexandria via LeMat-Bulk. Energies are from GGA-PBE.

Cell: 8.103 8.103 8.103 Å, 109.47 109.47 109.47°
Positions (direct):
1 Tb 0.000 0.000 0.709
2 Tb 0.000 0.709 0.000
3 Tb 0.291 0.291 0.291
4 Tb 0.709 0.000 0.000
5 Hf 0.170 0.670 0.500
6 Hf 0.330 0.500 0.830
7 Hf 0.500 0.170 0.670
8 Hf 0.500 0.830 0.330
9 Hf 0.670 0.500 0.170
10 Hf 0.830 0.330 0.500
11 O 0.000 0.000 0.000
12 O 0.000 0.355 0.355
13 O 0.000 0.645 0.645
14 O 0.030 0.266 0.669
15 O 0.236 0.970 0.639
16 O 0.266 0.669 0.030
17 O 0.331 0.598 0.361
18 O 0.355 0.000 0.355
19 O 0.355 0.355 0.000
20 O 0.361 0.331 0.598
21 O 0.402 0.734 0.764
22 O 0.598 0.361 0.331
23 O 0.639 0.236 0.970
24 O 0.645 0.000 0.645
25 O 0.645 0.645 0.000
26 O 0.669 0.030 0.266
27 O 0.734 0.764 0.402
28 O 0.764 0.402 0.734
29 O 0.970 0.639 0.236

***

[3]
Here is an optimized crystal structure of TbHf2O from Alexandria via LeMat-Bulk. Energies are from GGA-PBE.

Cell: 8.818 8.818 8.818 Å, 21.57 21.57 21.57°
Positions (direct):
1 Tb 0.000 0.000 0.000
2 Hf 0.120 0.120 0.120
3 Hf 0.880 0.880 0.880
4 O 0.500 0.500 0.500

***

no.,E_form (uncorrected) (eV/atom),magnetic moment (Bohr magnetons per cell),V (Å³/cell)
1,-1.004,0.0,88
2,-3.256,2.3,410
3,-0.838,0.0,81